Entry 1:
# YIr2Au (PBE-GGA, optimized geometry)
# ΔE_f = -0.08 eV per atom
# E above lowest polymorph = 0.298 eV/atom
# density = 15.17 g/cm3
# total energy = -6.945 eV per atom
# size of the total moment = 0.0 μB per formula unit
data_YIr2Au
_space_group_name_H-M_alt 'P 4/m m m'
_space_group_IT_number 123
_space_group_name_Hall '-P 4 2'
_cell_length_a 3.4532
_cell_length_b 3.4532
_cell_length_c 6.1515
_cell_angle_alpha 90.00
_cell_angle_beta 90.00
_cell_angle_gamma 90.00
loop_
_atom_site_label
_atom_site_type_symbol
_atom_site_fract_x
_atom_site_fract_y
_atom_site_fract_z
_atom_site_occupancy
Y1 Y 0.0000 0.0000 0.0000 1
Ir1 Ir 0.5000 0.5000 0.2771 1
Au1 Au 0.0000 0.0000 0.5000 1



Entry 2:
# YIr2Rh (PBE-GGA, optimized geometry)
# ΔE_f = -0.27 eV per atom
# E above lowest polymorph = 0.141 eV/atom
# density = 14.15 g/cm3
# total energy = -8.156 eV per atom
# size of the total moment = 0.0 μB per formula unit
data_YIr2Rh
_space_group_name_H-M_alt 'I 4/m m m'
_space_group_IT_number 139
_space_group_name_Hall '-I 4 2'
_cell_length_a 4.0481
_cell_length_b 4.0481
_cell_length_c 8.2518
_cell_angle_alpha 90.00
_cell_angle_beta 90.00
_cell_angle_gamma 90.00
loop_
_atom_site_label
_atom_site_type_symbol
_atom_site_fract_x
_atom_site_fract_y
_atom_site_fract_z
_atom_site_occupancy
Y1 Y 0.0000 0.0000 0.0000 1
Ir1 Ir 0.0000 0.5000 0.2500 1
Rh1 Rh 0.0000 0.0000 0.5000 1